# Y2SiNi

Y2SiNi at its PBEsol-relaxed geometry (SCAN, Alexandria via LeMat-Bulk).

Summary:
The magnetic moment is 0.00 μB/cell. The value obtained for the density of states at the Fermi level is 1.045 states/eV per atom. Its formation energy from raw total energies is -0.63 eV per atom. Its symmetry is R3m. As for the total DFT energy (no corrections): -21.1005 eV/atom. As for the crystal system: trigonal.

```
Y2SiNi
1.0
1.963 1.133 6.841
-1.963 1.133 6.841
0.000 -2.267 6.841
Y Si Ni
2 1 1
Cartesian
0.000 0.000 0.000
0.000 0.000 3.714
0.000 0.000 15.615
0.000 0.000 8.558
```

# FeGeAs2Br

FeGeAs2Br at its PBEsol-relaxed geometry (SCAN, Alexandria via LeMat-Bulk).

Summary:
The magnetic moment is 4.19 μB/cell. The value obtained for the density of states at the Fermi level is 0.656 states/eV per atom. Its formation energy from raw total energies is 1.00 eV per atom. Its symmetry is P4/mmm. As for the total DFT energy (no corrections): -18.4115 eV/atom. As for the crystal system: tetragonal.

```
FeGeAs2Br
1.0
4.865 0.000 0.000
0.000 4.865 0.000
0.000 0.000 5.044
Fe Ge As Br
1 1 2 1
Cartesian
0.000 0.000 0.000
2.433 2.433 2.522
0.000 2.433 2.522
2.433 0.000 2.522
2.433 2.433 0.000
```